*A*
Compound: LiB8C8
Source: Alexandria
Functional: PBE
Structure: relaxed

Computed properties:
* space group: No. 10

CIF file:
```
data_LiB8C8
_chemical_formula_sum 'Li1 B8 C8'
_space_group_name_H-M_alt 'P 1'
_space_group_IT_number 1
_space_group_name_Hall 'P 1'
_cell_length_a 6.522
_cell_length_b 2.728
_cell_length_c 9.243
_cell_angle_alpha 90.00
_cell_angle_beta 97.54
_cell_angle_gamma 90.00
loop_
_atom_site_label
_atom_site_type_symbol
_atom_site_fract_x
_atom_site_fract_y
_atom_site_fract_z
Li1 Li 0.000 0.000 0.000
B1 B 0.287 0.000 0.860
B2 B 0.327 0.500 0.101
B3 B 0.364 0.000 0.358
B4 B 0.377 0.500 0.618
B5 B 0.623 0.500 0.382
B6 B 0.636 0.000 0.642
B7 B 0.673 0.500 0.899
B8 B 0.713 0.000 0.140
C1 C 0.254 0.500 0.937
C2 C 0.369 0.000 0.189
C3 C 0.373 0.500 0.449
C4 C 0.389 0.000 0.713
C5 C 0.611 0.000 0.287
C6 C 0.627 0.500 0.551
C7 C 0.631 0.000 0.811
C8 C 0.746 0.500 0.063
```

*B*
Compound: LiB8C8
Source: Alexandria
Functional: PBE
Structure: relaxed

Computed properties:
* space group: No. 164

CIF file:
```
data_LiB8C8
_chemical_formula_sum 'Li1 B8 C8'
_space_group_name_H-M_alt 'P 1'
_space_group_IT_number 1
_space_group_name_Hall 'P 1'
_cell_length_a 2.692
_cell_length_b 2.692
_cell_length_c 36.745
_cell_angle_alpha 90.00
_cell_angle_beta 90.00
_cell_angle_gamma 120.00
loop_
_atom_site_label
_atom_site_type_symbol
_atom_site_fract_x
_atom_site_fract_y
_atom_site_fract_z
Li1 Li 0.000 0.000 0.000
B1 B 0.333 0.667 0.048
B2 B 0.333 0.667 0.312
B3 B 0.333 0.667 0.562
B4 B 0.333 0.667 0.817
B5 B 0.667 0.333 0.183
B6 B 0.667 0.333 0.438
B7 B 0.667 0.333 0.688
B8 B 0.667 0.333 0.952
C1 C 0.333 0.667 0.183
C2 C 0.333 0.667 0.438
C3 C 0.333 0.667 0.688
C4 C 0.333 0.667 0.953
C5 C 0.667 0.333 0.047
C6 C 0.667 0.333 0.312
C7 C 0.667 0.333 0.562
C8 C 0.667 0.333 0.817
```

Which is the most stable structure? *A* is the most stable.